Record 1
! LaPrPt2 | Alexandria | PBE | optimized geometry; values from VASP
&SYSTEM
  ibrav = 0, nat = 4, ntyp = 3
/
ATOMIC_SPECIES
La 138.91 La.upf
Pr 140.91 Pr.upf
Pt 195.08 Pt.upf
CELL_PARAMETERS angstrom
4.594 0.000 0.000
0.000 1.984 5.527
0.000 -1.984 5.527
ATOMIC_POSITIONS crystal
La 0.000 0.000 0.000
Pr 0.500 0.272 0.272
Pt 0.000 0.726 0.726
Pt 0.500 0.546 0.546
! E, Ry/atom: -0.4858
! ΔE to the lowest computed polymorph, meV per atom: 0
! Total moment, μB/f.u.: 0.0
! E_form, eV per formula unit: -4.65

---

Record 2
! CrPt3C | Alexandria | PBE | optimized geometry; values from VASP
&SYSTEM
  ibrav = 0, nat = 5, ntyp = 3
/
ATOMIC_SPECIES
Cr 52.00 Cr.upf
Pt 195.08 Pt.upf
C 12.01 C.upf
CELL_PARAMETERS angstrom
4.184 0.000 0.000
0.000 4.184 0.000
0.000 0.000 4.184
ATOMIC_POSITIONS crystal
Cr 0.000 0.000 0.000
Pt 0.000 0.500 0.500
Pt 0.500 0.000 0.500
Pt 0.500 0.500 0.000
C 0.500 0.500 0.500
! E, Ry/atom: -0.5152
! ΔE to the lowest computed polymorph, meV per atom: 0
! Total moment, μB/f.u.: 4.8
! E_form, eV per formula unit: 1.92

---

Record 3
! Ca3Pm3HgSe8 | Alexandria | PBE | optimized geometry; values from VASP
&SYSTEM
  ibrav = 0, nat = 15, ntyp = 4
/
ATOMIC_SPECIES
Ca 40.08 Ca.upf
Pm 145.00 Pm.upf
Hg 200.59 Hg.upf
Se 78.96 Se.upf
CELL_PARAMETERS angstrom
4.193 2.421 6.859
-4.193 2.421 6.859
0.000 -4.841 6.859
ATOMIC_POSITIONS crystal
Ca 0.000 0.500 0.500
Ca 0.500 0.000 0.500
Ca 0.500 0.500 0.000
Pm 0.000 0.000 0.500
Pm 0.000 0.500 0.000
Pm 0.500 0.000 0.000
Hg 0.500 0.500 0.500
Se 0.247 0.751 0.751
Se 0.249 0.249 0.753
Se 0.249 0.753 0.249
Se 0.250 0.250 0.250
Se 0.750 0.750 0.750
Se 0.751 0.247 0.751
Se 0.751 0.751 0.247
Se 0.753 0.249 0.249
! Energy relative to the elements, uncorrected, eV per atom: -1.648
! E, Ry/atom: -0.3585
! Total moment, μB/f.u.: 0.0